Computed, not measured: a relaxed TbEuH2 crystal at the PBE level of DFT.

Output
* magnetization: 1.82 μB per atom
* symmetry: No. 166

Cell: 3.573 3.573 6.251 Å, 73.39 73.39 60.00°
Atoms (fractional coordinates):
Eu  0.500  0.500  0.500
H  0.735  0.735  0.794
H  0.265  0.265  0.206
Tb  0.000  0.000  0.000

***

Computed, not measured: a relaxed TbEuH crystal at the PBE level of DFT.

Output
* magnetization: 2.36 μB per atom
* symmetry: No. 107

Cell: 3.412 3.412 6.657 Å, 104.85 104.85 90.00°
Atoms (fractional coordinates):
Eu  0.028  0.028  0.056
H  0.224  0.224  0.449
Tb  0.748  0.748  0.495

***

Computed, not measured: a relaxed Tb5Eu3H12 crystal at the PBE level of DFT.

Output
* magnetization: 1.19 μB per atom
* symmetry: No. 230

Cell: 11.652 11.652 11.652 Å, 109.47 109.47 109.47°
Atoms (fractional coordinates):
Eu  0.750  0.375  0.125
Eu  0.875  0.750  0.125
Eu  0.375  0.750  0.625
Eu  0.250  0.125  0.375
Eu  0.875  0.125  0.250
Eu  0.375  0.625  0.250
Eu  0.625  0.375  0.750
Eu  0.125  0.875  0.750
Eu  0.750  0.875  0.625
Eu  0.625  0.250  0.375
Eu  0.125  0.250  0.875
Eu  0.250  0.625  0.875
Tb  0.125  0.375  0.250
Tb  0.000  0.500  0.000
Tb  0.000  0.000  0.000
Tb  0.375  0.250  0.125
Tb  0.500  0.000  0.500
Tb  0.500  0.500  0.000
Tb  0.125  0.750  0.375
Tb  0.750  0.125  0.875
Tb  0.750  0.625  0.375
Tb  0.375  0.125  0.750
Tb  0.625  0.875  0.250
Tb  0.500  0.500  0.500
Tb  0.500  0.000  0.000
Tb  0.000  0.000  0.500
Tb  0.250  0.375  0.625
Tb  0.250  0.875  0.125
Tb  0.000  0.500  0.500
Tb  0.875  0.250  0.625
Tb  0.625  0.750  0.875
Tb  0.875  0.625  0.750
H  0.717  0.145  0.054
H  0.337  0.554  0.409
H  0.946  0.355  0.283
H  0.554  0.217  0.145
H  0.572  0.717  0.663
H  0.946  0.591  0.163
H  0.337  0.783  0.428
H  0.091  0.928  0.145
H  0.591  0.946  0.663
H  0.717  0.572  0.163
H  0.783  0.446  0.355
H  0.837  0.909  0.054
H  0.145  0.717  0.554
H  0.355  0.409  0.072
H  0.072  0.909  0.355
H  0.428  0.145  0.591
H  0.072  0.163  0.217
H  0.446  0.663  0.091
H  0.837  0.928  0.283
H  0.145  0.428  0.091
H  0.355  0.946  0.783
H  0.591  0.645  0.428
H  0.909  0.837  0.554
H  0.783  0.337  0.928
H  0.409  0.355  0.572
H  0.091  0.163  0.446
H  0.217  0.663  0.072
H  0.163  0.072  0.717
H  0.645  0.054  0.217
H  0.855  0.572  0.909
H  0.554  0.337  0.909
H  0.572  0.855  0.409
H  0.928  0.837  0.783
H  0.928  0.091  0.645
H  0.855  0.283  0.446
H  0.163  0.091  0.946
H  0.645  0.591  0.928
H  0.409  0.054  0.337
H  0.283  0.428  0.837
H  0.217  0.554  0.645
H  0.909  0.072  0.855
H  0.663  0.217  0.572
H  0.446  0.783  0.855
H  0.054  0.409  0.837
H  0.428  0.283  0.337
H  0.054  0.645  0.717
H  0.663  0.446  0.591
H  0.283  0.855  0.946

***

Computed, not measured: a relaxed EuTcH crystal at the PBE level of DFT.

Output
* magnetization: 2.28 μB per atom
* symmetry: No. 129

Cell: 3.491 3.491 8.699 Å, 90.00 90.00 90.00°
Atoms (fractional coordinates):
Eu  0.000  0.500  0.684
Eu  0.500  0.000  0.316
H  0.000  0.500  0.399
H  0.500  0.000  0.601
Tc  0.000  0.000  0.000
Tc  0.500  0.500  0.000

***

Computed, not measured: a relaxed Eu2TcH4 crystal at the PBE level of DFT.

Output
* magnetization: 2.05 μB per atom
* symmetry: No. 139

Cell: 3.781 3.781 6.709 Å, 73.64 73.64 90.00°
Atoms (fractional coordinates):
Eu  0.358  0.358  0.284
Eu  0.642  0.642  0.716
H  0.150  0.150  0.700
H  0.850  0.850  0.300
H  0.000  0.500  0.000
H  0.500  0.000  0.000
Tc  0.000  0.000  0.000

***

Computed, not measured: a relaxed EuTeH crystal at the PBE level of DFT.

Output
* magnetization: 2.30 μB per atom
* symmetry: No. 107

Cell: 3.432 3.432 6.205 Å, 106.05 106.05 90.00°
Atoms (fractional coordinates):
Eu  0.718  0.718  0.436
H  0.274  0.274  0.549
Te  0.008  0.008  0.015

***

Computed, not measured: a relaxed Eu2TeH crystal at the PBE level of DFT.

Output
* magnetization: 3.75 μB per atom
* symmetry: No. 166

Cell: 4.278 4.278 7.273 Å, 72.90 72.90 60.00°
Atoms (fractional coordinates):
Eu  0.264  0.264  0.208
Eu  0.736  0.736  0.792
H  0.000  0.000  0.000
Te  0.500  0.500  0.500

***

Computed, not measured: a relaxed Eu3TeH crystal at the PBE level of DFT.

Output
* magnetization: 4.71 μB per atom
* symmetry: No. 221

Cell: 5.037 5.037 5.037 Å, 90.00 90.00 90.00°
Atoms (fractional coordinates):
Eu  0.000  0.500  0.000
Eu  0.000  0.000  0.500
Eu  0.500  0.000  0.000
H  0.000  0.000  0.000
Te  0.500  0.500  0.500

***

no.,VASP energy (eV/atom)
1,-5.75
2,-6.14
3,-5.13
4,-8.00
5,-6.67
6,-6.18
7,-7.66
8,-8.12